Entry from Alexandria: Hf3ZnNi12 after structural relaxation (PBE).

Structure (extended XYZ):
```
16
Lattice="3.7037 0.0000 0.0000 0.0000 3.7037 0.0000 0.0000 0.0000 14.6607" Properties=species:S:1:pos:R:3 pbc="T T T"
Hf 0.0000 0.0000 3.5498
Hf 0.0000 0.0000 7.3304
Hf 0.0000 0.0000 11.1109
Zn 0.0000 0.0000 0.0000
Ni 1.8519 1.8519 0.0000
Ni 1.8519 1.8519 3.6114
Ni 1.8519 1.8519 7.3304
Ni 1.8519 1.8519 11.0493
Ni 1.8519 0.0000 1.7123
Ni 1.8519 0.0000 5.4634
Ni 1.8519 0.0000 9.1973
Ni 1.8519 0.0000 12.9484
Ni 0.0000 1.8519 1.7123
Ni 0.0000 1.8519 5.4634
Ni 0.0000 1.8519 9.1973
Ni 0.0000 1.8519 12.9484
```

Values from the calculation:
Energy relative to the elements ... -0.426 eV per atom
Space-group type ... P4/mmm
DOS at the Fermi energy ... 10.19 states/eV/cell